Entry w
This record from Alexandria via LeMat-Bulk describes a relaxed Sr2LiMgNi crystal. The functional is GGA-PBE.

a = 5.769 Å, b = 5.769 Å, c = 4.826 Å
α = 90.00°, β = 90.00°, γ = 90.00°
Fractional coordinates of all 5 atoms:
Sr (0.000, 0.500, 0.000)
Sr (0.500, 0.000, 0.000)
Li (0.000, 0.000, 0.500)
Mg (0.500, 0.500, 0.500)
Ni (0.000, 0.000, 0.000)

Computed properties:
Space group: P4/mmm

Entry x
This record from Alexandria via LeMat-Bulk describes a relaxed Sr2LiMgNi crystal. The functional is GGA-PBE.

a = 5.741 Å, b = 5.741 Å, c = 5.043 Å
α = 90.00°, β = 90.00°, γ = 90.00°
Fractional coordinates of all 5 atoms:
Sr (0.000, 0.500, 0.000)
Sr (0.500, 0.000, 0.000)
Li (0.000, 0.000, 0.500)
Mg (0.500, 0.500, 0.500)
Ni (0.500, 0.500, 0.000)

Computed properties:
Space group: P4/mmm

Tell me which of them is the most stable. Sure, it is entry x.

Entry w
This record from Alexandria via LeMat-Bulk describes a relaxed LiMgO crystal. The functional is GGA-PBE.

a = 5.947 Å, b = 5.947 Å, c = 5.310 Å
α = 92.53°, β = 92.53°, γ = 125.98°
Fractional coordinates of all 12 atoms:
Li (0.072, 0.928, 0.500)
Li (0.538, 0.936, 0.577)
Li (0.928, 0.072, 0.000)
Li (0.936, 0.538, 0.077)
Mg (0.030, 0.391, 0.564)
Mg (0.391, 0.030, 0.064)
Mg (0.494, 0.619, 0.223)
Mg (0.619, 0.494, 0.723)
O (0.019, 0.826, 0.849)
O (0.226, 0.717, 0.330)
O (0.717, 0.226, 0.830)
O (0.826, 0.019, 0.349)

Computed properties:
Space group: Cc

Entry x
This record from Alexandria via LeMat-Bulk describes a relaxed LiMgO crystal. The functional is GGA-PBE.

a = 3.949 Å, b = 3.949 Å, c = 7.203 Å
α = 90.00°, β = 90.00°, γ = 90.00°
Fractional coordinates of all 6 atoms:
Li (0.250, 0.750, 0.000)
Li (0.750, 0.250, 0.000)
Mg (0.250, 0.750, 0.500)
Mg (0.750, 0.250, 0.500)
O (0.250, 0.250, 0.446)
O (0.750, 0.750, 0.554)

Computed properties:
Space group: P4/nmm

Tell me which of them is the most stable. Sure, it is entry w.